Entry 1:
A plane-wave DFT calculation with PBE was carried out for a relaxed ZrTi2Ag crystal.

Computed properties:
Its formation energy from the elements is 0.10 eV/atom. The volume comes out at 74.4 Å³/cell. The value obtained for the offset from the most stable computed form is 6.12 kJ per mole of atoms. The calculation puts the density of states at the Fermi level at 6.7 states/eV per cell.

```
data_ZrTi2Ag
_cell_length_a 4.2254
_cell_length_b 4.2254
_cell_length_c 4.1674
_cell_angle_alpha 90.00
_cell_angle_beta 90.00
_cell_angle_gamma 90.00
_space_group_name_H-M_alt 'P 4/m m m'
_space_group_IT_number 123
_space_group_name_Hall '-P 4 2'
loop_
_atom_site_label
_atom_site_fract_x
_atom_site_fract_y
_atom_site_fract_z
Zr1 0.0000 0.0000 0.0000
Ti1 0.0000 0.5000 0.5000
Ag1 0.5000 0.5000 0.0000
```

***

Entry 2:
A plane-wave DFT calculation with PBE was carried out for a relaxed ZrTiAg crystal.

Computed properties:
Its formation energy from the elements is -0.03 eV/atom. The volume comes out at 116.0 Å³/cell. The value obtained for the offset from the most stable computed form is 2.55 kJ per mole of atoms. The calculation puts the density of states at the Fermi level at 6.2 states/eV per cell.

```
data_ZrTiAg
_cell_length_a 3.0215
_cell_length_b 3.0215
_cell_length_c 12.7106
_cell_angle_alpha 90.00
_cell_angle_beta 90.00
_cell_angle_gamma 90.00
_space_group_name_H-M_alt 'P 4/n m m'
_space_group_IT_number 129
loop_
_space_group_symop_operation_xyz
'x,y,z'
'-x,-y,-z'
'-y+1/2,x,z'
'y+1/2,-x,-z'
'-x+1/2,-y+1/2,z'
'x+1/2,y+1/2,-z'
'y,-x+1/2,z'
'-y,x+1/2,-z'
'x+1/2,-y,-z'
'-x+1/2,y,z'
'-y,-x,-z'
'y,x,z'
'-x,y+1/2,-z'
'x,-y+1/2,z'
'y+1/2,x+1/2,-z'
'-y+1/2,-x+1/2,z'
loop_
_atom_site_label
_atom_site_fract_x
_atom_site_fract_y
_atom_site_fract_z
Zr1 0.2500 0.2500 0.2439
Ti1 0.2500 0.2500 0.9241
Ag1 0.2500 0.2500 0.5794
```

***

Entry 3:
A plane-wave DFT calculation with PBE was carried out for a relaxed Zr3Ti2Ag crystal.

Computed properties:
Its formation energy from the elements is -0.01 eV/atom. The volume comes out at 121.6 Å³/cell. The calculation puts the density of states at the Fermi level at 7.0 states/eV per cell.

```
data_Zr3Ti2Ag
_cell_length_a 3.1033
_cell_length_b 3.1033
_cell_length_c 12.6316
_cell_angle_alpha 90.00
_cell_angle_beta 90.00
_cell_angle_gamma 90.00
_space_group_name_H-M_alt 'P 4/m m m'
_space_group_IT_number 123
_space_group_name_Hall '-P 4 2'
loop_
_atom_site_label
_atom_site_fract_x
_atom_site_fract_y
_atom_site_fract_z
Zr1 0.0000 0.0000 0.0000
Zr2 0.0000 0.0000 0.3287
Ti1 0.5000 0.5000 0.1683
Ag1 0.5000 0.5000 0.5000
```

***

Entry 4:
A plane-wave DFT calculation with PBE was carried out for a relaxed ZrTiAg2 crystal.

Computed properties:
Its formation energy from the elements is 0.06 eV/atom. The volume comes out at 74.7 Å³/cell. The value obtained for the offset from the most stable computed form is 9.49 kJ per mole of atoms. The calculation puts the density of states at the Fermi level at 4.0 states/eV per cell.

```
data_ZrTiAg2
_cell_length_a 2.9777
_cell_length_b 2.9777
_cell_length_c 8.4286
_cell_angle_alpha 90.00
_cell_angle_beta 90.00
_cell_angle_gamma 90.00
_space_group_name_H-M_alt 'P 4/m m m'
_space_group_IT_number 123
_space_group_name_Hall '-P 4 2'
loop_
_atom_site_label
_atom_site_fract_x
_atom_site_fract_y
_atom_site_fract_z
Zr1 0.0000 0.0000 0.0000
Ti1 0.0000 0.0000 0.5000
Ag1 0.5000 0.5000 0.2650
```

***

Entry 5:
A plane-wave DFT calculation with PBE was carried out for a relaxed Zr2TiAg crystal.

Computed properties:
Its formation energy from the elements is 0.31 eV/atom. The volume comes out at 248.5 Å³/cell. The value obtained for the offset from the most stable computed form is 36.37 kJ per mole of atoms. The calculation puts the density of states at the Fermi level at 14.3 states/eV per cell.

```
data_Zr2TiAg
_cell_length_a 2.9672
_cell_length_b 2.9672
_cell_length_c 32.5917
_cell_angle_alpha 90.00
_cell_angle_beta 90.00
_cell_angle_gamma 120.00
_space_group_name_H-M_alt 'R -3 m'
_space_group_IT_number 166
_space_group_name_Hall '-R 3 2"'
loop_
_atom_site_label
_atom_site_fract_x
_atom_site_fract_y
_atom_site_fract_z
Zr1 0.0000 0.0000 0.0870
Ti1 0.0000 0.0000 0.0000
Ag1 0.0000 0.0000 0.5000
```

***

Entry 6:
A plane-wave DFT calculation with PBE was carried out for a relaxed ZrTi2Ag crystal.

Computed properties:
Its formation energy from the elements is 0.18 eV/atom. The volume comes out at 291.2 Å³/cell. The value obtained for the offset from the most stable computed form is 13.87 kJ per mole of atoms. The calculation puts the density of states at the Fermi level at 30.0 states/eV per cell.

```
data_ZrTi2Ag
_cell_length_a 6.6285
_cell_length_b 6.6285
_cell_length_c 6.6285
_cell_angle_alpha 90.00
_cell_angle_beta 90.00
_cell_angle_gamma 90.00
_space_group_name_H-M_alt 'F m -3 m'
_space_group_IT_number 225
_space_group_name_Hall '-F 4 2 3'
loop_
_atom_site_label
_atom_site_fract_x
_atom_site_fract_y
_atom_site_fract_z
Zr1 0.0000 0.0000 0.0000
Ti1 0.2500 0.2500 0.2500
Ag1 0.0000 0.0000 0.5000
```

***

Entry 7:
A plane-wave DFT calculation with PBE was carried out for a relaxed Zr2TiAg crystal.

Computed properties:
Its formation energy from the elements is 0.07 eV/atom. The volume comes out at 245.9 Å³/cell. The value obtained for the offset from the most stable computed form is 12.89 kJ per mole of atoms. The calculation puts the density of states at the Fermi level at 13.4 states/eV per cell.

```
data_Zr2TiAg
_cell_length_a 3.0925
_cell_length_b 3.0925
_cell_length_c 29.6954
_cell_angle_alpha 90.00
_cell_angle_beta 90.00
_cell_angle_gamma 120.00
_space_group_name_H-M_alt 'R 3 m'
_space_group_IT_number 160
_space_group_name_Hall 'R 3 -2"'
loop_
_atom_site_label
_atom_site_fract_x
_atom_site_fract_y
_atom_site_fract_z
Zr1 0.0000 0.0000 0.0000
Zr2 0.0000 0.0000 0.1614
Ti1 0.0000 0.0000 0.7477
Ag1 0.0000 0.0000 0.5806
```

***

Entry 8:
A plane-wave DFT calculation with PBE was carried out for a relaxed Zr2TiAg crystal.

Computed properties:
Its formation energy from the elements is 0.11 eV/atom. The volume comes out at 324.4 Å³/cell. The value obtained for the offset from the most stable computed form is 17.20 kJ per mole of atoms. The calculation puts the density of states at the Fermi level at 28.1 states/eV per cell.

```
data_Zr2TiAg
_cell_length_a 6.8713
_cell_length_b 6.8713
_cell_length_c 6.8713
_cell_angle_alpha 90.00
_cell_angle_beta 90.00
_cell_angle_gamma 90.00
_space_group_name_H-M_alt 'F m -3 m'
_space_group_IT_number 225
_space_group_name_Hall '-F 4 2 3'
loop_
_atom_site_label
_atom_site_fract_x
_atom_site_fract_y
_atom_site_fract_z
Zr1 0.2500 0.2500 0.2500
Ti1 0.0000 0.0000 0.0000
Ag1 0.0000 0.0000 0.5000
```

***

Entry 9:
A plane-wave DFT calculation with PBE was carried out for a relaxed Zr2TiAg crystal.

Computed properties:
Its formation energy from the elements is -0.07 eV/atom. The volume comes out at 81.0 Å³/cell. The value obtained for the offset from the most stable computed form is 0.00 kJ per mole of atoms. The calculation puts the density of states at the Fermi level at 3.1 states/eV per cell.

```
data_Zr2TiAg
_cell_length_a 3.1134
_cell_length_b 3.1134
_cell_length_c 8.3565
_cell_angle_alpha 90.00
_cell_angle_beta 90.00
_cell_angle_gamma 90.00
_space_group_name_H-M_alt 'P 4/m m m'
_space_group_IT_number 123
_space_group_name_Hall '-P 4 2'
loop_
_atom_site_label
_atom_site_fract_x
_atom_site_fract_y
_atom_site_fract_z
Zr1 0.0000 0.0000 0.2433
Ti1 0.5000 0.5000 0.0000
Ag1 0.5000 0.5000 0.5000
```

***

Entry 10:
A plane-wave DFT calculation with PBE was carried out for a relaxed ZrTiAg2 crystal.

Computed properties:
Its formation energy from the elements is 0.10 eV/atom. The volume comes out at 308.2 Å³/cell. The value obtained for the offset from the most stable computed form is 13.60 kJ per mole of atoms. The calculation puts the density of states at the Fermi level at 7.1 states/eV per cell.

```
data_ZrTiAg2
_cell_length_a 6.7546
_cell_length_b 6.7546
_cell_length_c 6.7546
_cell_angle_alpha 90.00
_cell_angle_beta 90.00
_cell_angle_gamma 90.00
_space_group_name_H-M_alt 'F m -3 m'
_space_group_IT_number 225
_space_group_name_Hall '-F 4 2 3'
loop_
_atom_site_label
_atom_site_fract_x
_atom_site_fract_y
_atom_site_fract_z
Zr1 0.0000 0.0000 0.0000
Ti1 0.0000 0.0000 0.5000
Ag1 0.2500 0.2500 0.2500
```

***

Entry 11:
A plane-wave DFT calculation with PBE was carried out for a relaxed ZrTi2Ag crystal.

Computed properties:
Its formation energy from the elements is 0.42 eV/atom. The volume comes out at 316.6 Å³/cell. The value obtained for the offset from the most stable computed form is 37.53 kJ per mole of atoms. The calculation puts the density of states at the Fermi level at 16.5 states/eV per cell.

```
data_ZrTi2Ag
_cell_length_a 3.9904
_cell_length_b 3.9904
_cell_length_c 19.8822
_cell_angle_alpha 90.00
_cell_angle_beta 90.00
_cell_angle_gamma 90.00
_space_group_name_H-M_alt 'I -4 2 d'
_space_group_IT_number 122
_space_group_name_Hall 'I -4 2bw'
loop_
_atom_site_label
_atom_site_fract_x
_atom_site_fract_y
_atom_site_fract_z
Zr1 0.0000 0.0000 0.0000
Ti1 0.2490 0.2500 0.1250
Ag1 0.0000 0.0000 0.5000
```

***

Entry 12:
A plane-wave DFT calculation with PBE was carried out for a relaxed ZrTiAg crystal.

Computed properties:
Its formation energy from the elements is -0.05 eV/atom. The volume comes out at 116.0 Å³/cell. The value obtained for the offset from the most stable computed form is 0.00 kJ per mole of atoms. The calculation puts the density of states at the Fermi level at 5.8 states/eV per cell.

```
data_ZrTiAg
_cell_length_a 3.5033
_cell_length_b 3.5033
_cell_length_c 9.4549
_cell_angle_alpha 90.00
_cell_angle_beta 90.00
_cell_angle_gamma 90.00
_space_group_name_H-M_alt 'P 4/n m m'
_space_group_IT_number 129
loop_
_space_group_symop_operation_xyz
'x,y,z'
'-x,-y,-z'
'-y+1/2,x,z'
'y+1/2,-x,-z'
'-x+1/2,-y+1/2,z'
'x+1/2,y+1/2,-z'
'y,-x+1/2,z'
'-y,x+1/2,-z'
'x+1/2,-y,-z'
'-x+1/2,y,z'
'-y,-x,-z'
'y,x,z'
'-x,y+1/2,-z'
'x,-y+1/2,z'
'y+1/2,x+1/2,-z'
'-y+1/2,-x+1/2,z'
loop_
_atom_site_label
_atom_site_fract_x
_atom_site_fract_y
_atom_site_fract_z
Zr1 0.2500 0.2500 0.2478
Ti1 0.2500 0.2500 0.9365
Ag1 0.2500 0.2500 0.5798
```